A geometry-optimized Na5Cd2Hg4 structure, computed with GGA-PBE.

Results
crystal system = monoclinic
N(E_F) = 4.5 states/eV/cell
distance to the lowest polymorph of the same formula = 0.049 eV per atom

Structure (POSCAR):
```
Na5Cd2Hg4
1.0
3.5490 0.0000 0.0000
0.0000 7.3328 -1.3956
-1.7745 -4.1248 12.2880
Hg Cd Na
4 2 5
direct
0.4132 0.5165 0.8263
0.5868 0.4835 0.1737
0.0417 0.7441 0.0834
0.9583 0.2559 0.9166
0.7280 0.6159 0.4560
0.2720 0.3841 0.5440
0.8682 0.7703 0.7363
0.1800 0.8728 0.3599
0.5000 0.0000 0.0000
0.8200 0.1272 0.6401
0.1318 0.2297 0.2637
```



A geometry-optimized Na8Cd6Hg structure, computed with GGA-PBE.

Results
crystal system = trigonal
N(E_F) = 6.2 states/eV/cell
distance to the lowest polymorph of the same formula = 0.000 eV per atom

Structure (POSCAR):
```
Na8Cd6Hg
1.0
-7.6620 3.3720 1.3639
-6.9735 -4.6405 -1.3311
-4.6811 -2.5369 6.3469
Na Hg Cd
8 1 6
direct
0.8598 0.3349 0.6465
0.1589 0.8598 0.6465
0.8411 0.1402 0.3535
0.5874 0.5874 0.2377
0.4126 0.4126 0.7623
0.6651 0.8411 0.3535
0.3349 0.1589 0.6465
0.1402 0.6651 0.3535
0.0000 0.0000 0.0000
0.4873 0.3037 0.1557
0.9468 0.5127 0.8443
0.6963 0.9468 0.8443
0.3037 0.0532 0.1557
0.5127 0.6963 0.8443
0.0532 0.4873 0.1557
```



A geometry-optimized Na2CdHg5 structure, computed with GGA-PBE.

Results
crystal system = monoclinic
N(E_F) = 3.0 states/eV/cell
distance to the lowest polymorph of the same formula = 0.008 eV per atom

Structure (POSCAR):
```
Na2CdHg5
1.0
-1.5339 1.6749 6.3800
-6.5402 0.4651 -1.6944
3.4413 -5.2968 -1.3762
Hg Na Cd
5 2 1
direct
0.2227 0.2227 0.9443
0.7216 0.2227 0.9443
0.7217 0.7218 0.9444
0.2227 0.7218 0.9444
0.7231 0.7232 0.4462
0.2218 0.7217 0.4437
0.7219 0.2218 0.4438
0.2215 0.2214 0.4430
```



A geometry-optimized NaCdHg structure, computed with GGA-PBE.

Results
crystal system = tetragonal
N(E_F) = 1.0 states/eV/cell
distance to the lowest polymorph of the same formula = 0.038 eV per atom

Structure (POSCAR):
```
NaCdHg
1.0
3.8715 0.0000 0.0000
0.0000 3.8715 0.0000
-1.9358 -1.9358 5.0104
Hg Cd Na
1 1 1
direct
0.2845 0.2845 0.5690
0.9463 0.9463 0.8926
0.6192 0.6192 0.2384
```



A geometry-optimized Na2Cd4Hg structure, computed with GGA-PBE.

Results
crystal system = tetragonal
N(E_F) = 4.3 states/eV/cell
distance to the lowest polymorph of the same formula = 0.197 eV per atom

Structure (POSCAR):
```
Na2Cd4Hg
1.0
-0.1632 1.9139 5.3056
-3.9488 -3.8288 1.2597
7.6047 -4.1078 -1.2848
Na Cd Hg
2 4 1
direct
0.3837 0.3837 0.7675
0.6163 0.6163 0.2325
0.8129 0.8129 0.6258
0.0000 0.5000 0.0000
0.1871 0.1871 0.3742
0.5000 0.0000 0.0000
0.0000 0.0000 0.0000
```



A geometry-optimized NaCd2Hg4 structure, computed with GGA-PBE.

Results
crystal system = tetragonal
N(E_F) = 2.7 states/eV/cell
distance to the lowest polymorph of the same formula = 0.182 eV per atom

Structure (POSCAR):
```
NaCd2Hg4
1.0
5.7340 0.0000 0.0000
0.0000 5.7340 0.0000
2.8670 2.8670 7.4354
Hg Cd Na
4 2 1
direct
0.2019 0.2019 0.5962
0.7981 0.7981 0.4038
0.5000 0.0000 0.0000
0.0000 0.5000 0.0000
0.3999 0.3999 0.2001
0.6001 0.6001 0.7999
0.0000 0.0000 0.0000
```



A geometry-optimized NaCd6Hg structure, computed with GGA-PBE.

Results
crystal system = orthorhombic
N(E_F) = 1.3 states/eV/cell
distance to the lowest polymorph of the same formula = 0.000 eV per atom

Structure (POSCAR):
```
NaCd6Hg
1.0
-2.7784 -1.6359 -4.1884
5.3065 -2.0510 -2.7190
-3.3374 -3.8926 3.7342
Cd Hg Na
6 1 1
direct
0.5000 0.1628 0.8322
0.5000 0.6695 0.8322
0.0000 0.3334 0.1682
0.0000 0.8353 0.6706
0.0000 0.8349 0.1682
0.0000 0.3350 0.6699
0.5000 0.1631 0.3262
0.5000 0.6662 0.3323
```



A geometry-optimized NaCd3Hg structure, computed with GGA-PBE.

Results
crystal system = monoclinic
N(E_F) = 5.5 states/eV/cell
distance to the lowest polymorph of the same formula = 0.003 eV per atom

Structure (POSCAR):
```
NaCd3Hg
1.0
-5.6325 0.0223 3.6076
-3.0445 -6.3725 -4.7139
4.6795 -3.3016 7.3263
Cd Hg Na
12 4 4
direct
0.4092 0.1692 0.8773
0.5793 0.6649 0.3701
0.9092 0.8308 0.6227
0.5908 0.8308 0.1227
0.4207 0.3351 0.6299
0.0793 0.3351 0.1299
0.7082 0.4653 0.0435
0.7918 0.4653 0.5435
0.2918 0.5347 0.9565
0.2082 0.5347 0.4565
0.0908 0.1692 0.3773
0.9207 0.6649 0.8701
0.7901 0.0388 0.9493
0.2099 0.9612 0.0507
0.2901 0.9612 0.5507
0.7099 0.0388 0.4493
0.5401 0.2448 0.2463
0.9599 0.2448 0.7463
0.0401 0.7552 0.2537
0.4599 0.7552 0.7537
```



A geometry-optimized Na2Cd3Hg2 structure, computed with GGA-PBE.

Results
crystal system = monoclinic
N(E_F) = 2.4 states/eV/cell
distance to the lowest polymorph of the same formula = 0.000 eV per atom

Structure (POSCAR):
```
Na2Cd3Hg2
1.0
-2.2387 -4.0137 1.1116
3.4106 -0.4132 -4.6796
4.3042 -0.6523 6.3132
Cd Na Hg
3 2 2
direct
0.3858 0.7716 0.5700
0.5000 0.0000 0.0000
0.6142 0.2284 0.4300
0.8640 0.7280 0.2290
0.1360 0.2720 0.7710
0.8385 0.6770 0.7960
0.1615 0.3230 0.2040
```



A geometry-optimized Na5CdHg structure, computed with GGA-PBE.

Results
crystal system = orthorhombic
N(E_F) = 4.2 states/eV/cell
distance to the lowest polymorph of the same formula = 0.215 eV per atom

Structure (POSCAR):
```
Na5CdHg
1.0
5.8717 0.0000 0.0000
0.0000 8.6564 0.0000
-2.9359 -4.3282 5.9328
Na Hg Cd
5 1 1
direct
0.8425 0.7536 0.5072
0.4171 0.8223 0.0000
0.4171 0.1777 0.0000
0.3354 0.2464 0.4928
0.0520 0.5000 0.0000
0.5606 0.5000 0.0000
0.9061 0.0000 0.0000
```



A geometry-optimized Na4Cd2Hg3 structure, computed with GGA-PBE.

Results
crystal system = monoclinic
N(E_F) = 3.8 states/eV/cell
energy = -1.0442 eV/atom

Structure (POSCAR):
```
Na4Cd2Hg3
1.0
4.6331 0.0000 -1.2775
-0.5923 6.1985 -2.1482
-0.1699 0.0420 8.4240
Na Hg Cd
4 3 2
direct
0.4254 0.1180 0.8509
0.2108 0.7663 0.4217
0.7892 0.2337 0.5783
0.5746 0.8820 0.1491
0.1624 0.2139 0.3247
0.0000 0.5000 0.0000
0.8376 0.7861 0.6753
0.6207 0.4415 0.2414
0.3793 0.5585 0.7586
```



- Look up the N(E_F) of the eighth one.
  5.5 states/eV/cell